Entry 1:
Compound: ErH3Pd
Source: the Alexandria database
Functional: GGA-PBE
Structure: optimized geometry

## Properties
Its crystal system is cubic. For the density of states at the Fermi level, the calculation gives 1.1 states/eV/cell. Its total energy is -22.0 eV/cell.

The structure in CIF format:
```
data_ErH3Pd
_chemical_formula_sum 'Er1 H3 Pd1'
_cell_length_a 3.679
_cell_length_b 3.679
_cell_length_c 3.679
_cell_angle_alpha 90.00
_cell_angle_beta 90.00
_cell_angle_gamma 90.00
_space_group_name_H-M_alt 'P m -3 m'
_space_group_IT_number 221
_space_group_name_Hall '-P 4 2 3'
loop_
_atom_site_label
_atom_site_fract_x
_atom_site_fract_y
_atom_site_fract_z
Er1 0.000 0.000 0.000
H1 0.000 0.500 0.500
Pd1 0.500 0.500 0.500
```



Entry 2:
Compound: Y2PuCrN5
Source: the Alexandria database
Functional: GGA-PBE
Structure: optimized geometry

## Properties
The value obtained for the raw formation energy is -1109 meV per atom. Its crystal system is orthorhombic. For the density of states at the Fermi level, the calculation gives 23.5 states/eV/cell. Its total energy is -353.9 eV/cell.

The structure in CIF format:
```
data_Y2PuCrN5
_chemical_formula_sum 'Y8 Pu4 Cr4 N20'
_cell_length_a 3.371
_cell_length_b 13.591
_cell_length_c 10.111
_cell_angle_alpha 90.00
_cell_angle_beta 90.00
_cell_angle_gamma 90.00
_space_group_name_H-M_alt 'C m c 21'
_space_group_IT_number 36
loop_
_space_group_symop_operation_xyz
'x,y,z'
'-x,-y,z+1/2'
'-x,y,z'
'x,-y,z+1/2'
'x+1/2,y+1/2,z'
'-x+1/2,-y+1/2,z+1/2'
'-x+1/2,y+1/2,z'
'x+1/2,-y+1/2,z+1/2'
loop_
_atom_site_label
_atom_site_fract_x
_atom_site_fract_y
_atom_site_fract_z
Y1 0.000 0.107 0.000
Y2 0.000 0.135 0.610
Pu1 0.000 0.208 0.317
Cr1 0.000 0.488 0.770
N1 0.000 0.042 0.344
N2 0.000 0.285 0.962
N3 0.000 0.317 0.683
N4 0.000 0.375 0.312
N5 0.000 0.492 0.094
```



Entry 3:
Compound: RuPtO3
Source: the Alexandria database
Functional: GGA-PBE
Structure: optimized geometry

## Properties
The value obtained for the raw formation energy is 549 meV per atom. Its crystal system is cubic. For the density of states at the Fermi level, the calculation gives 3.5 states/eV/cell. Its total energy is -27.4 eV/cell.

The structure in CIF format:
```
data_RuPtO3
_chemical_formula_sum 'Ru1 Pt1 O3'
_cell_length_a 3.952
_cell_length_b 3.952
_cell_length_c 3.952
_cell_angle_alpha 90.00
_cell_angle_beta 90.00
_cell_angle_gamma 90.00
_space_group_name_H-M_alt 'P m -3 m'
_space_group_IT_number 221
_space_group_name_Hall '-P 4 2 3'
loop_
_atom_site_label
_atom_site_fract_x
_atom_site_fract_y
_atom_site_fract_z
Ru1 0.000 0.000 0.000
Pt1 0.500 0.500 0.500
O1 0.000 0.500 0.500
```



Entry 4:
Compound: Sr2PdO
Source: the Alexandria database
Functional: GGA-PBE
Structure: optimized geometry

## Properties
The value obtained for the raw formation energy is -1287 meV per atom. Its crystal system is tetragonal. For the density of states at the Fermi level, the calculation gives 1.6 states/eV/cell. Its total energy is -18.7 eV/cell.

The structure in CIF format:
```
data_Sr2PdO
_chemical_formula_sum 'Sr2 Pd1 O1'
_cell_length_a 3.362
_cell_length_b 3.362
_cell_length_c 7.216
_cell_angle_alpha 90.00
_cell_angle_beta 90.00
_cell_angle_gamma 90.00
_space_group_name_H-M_alt 'P 4/m m m'
_space_group_IT_number 123
_space_group_name_Hall '-P 4 2'
loop_
_atom_site_label
_atom_site_fract_x
_atom_site_fract_y
_atom_site_fract_z
Sr1 0.000 0.000 0.213
Pd1 0.500 0.500 0.500
O1 0.500 0.500 0.000
```



Entry 5:
Compound: BaZrGa2Br8
Source: the Alexandria database
Functional: GGA-PBE
Structure: optimized geometry

## Properties
The value obtained for the raw formation energy is -1273 meV per atom. Its crystal system is triclinic. For the density of states at the Fermi level, the calculation gives 0.0 states/eV/cell. Its total energy is -45.2 eV/cell.

The structure in CIF format:
```
data_BaZrGa2Br8
_chemical_formula_sum 'Ba1 Zr1 Ga2 Br8'
_cell_length_a 7.059
_cell_length_b 7.287
_cell_length_c 9.076
_cell_angle_alpha 89.93
_cell_angle_beta 89.91
_cell_angle_gamma 88.99
_space_group_name_H-M_alt 'P -1'
_space_group_IT_number 2
loop_
_space_group_symop_operation_xyz
'x,y,z'
'-x,-y,-z'
loop_
_atom_site_label
_atom_site_fract_x
_atom_site_fract_y
_atom_site_fract_z
Ba1 0.000 0.000 0.000
Zr1 0.000 0.000 0.500
Ga1 0.500 0.500 0.244
Br1 0.204 0.698 0.501
Br2 0.227 0.140 0.291
Br3 0.227 0.140 0.708
Br4 0.277 0.645 0.000
```



Entry 6:
Compound: EuSeF
Source: the Alexandria database
Functional: GGA-PBE
Structure: optimized geometry

## Properties
The value obtained for the raw formation energy is -2207 meV per atom. Its crystal system is tetragonal. For the density of states at the Fermi level, the calculation gives 18.7 states/eV/cell. Its total energy is -44.5 eV/cell.

The structure in CIF format:
```
data_EuSeF
_chemical_formula_sum 'Eu2 Se2 F2'
_cell_length_a 3.418
_cell_length_b 3.418
_cell_length_c 10.675
_cell_angle_alpha 90.00
_cell_angle_beta 90.00
_cell_angle_gamma 90.00
_space_group_name_H-M_alt 'I 4 m m'
_space_group_IT_number 107
_space_group_name_Hall 'I 4 -2'
loop_
_atom_site_label
_atom_site_fract_x
_atom_site_fract_y
_atom_site_fract_z
Eu1 0.000 0.000 0.000
Se1 0.000 0.000 0.300
F1 0.000 0.000 0.572
```